Entry 1:
Entry from Alexandria via LeMat-Bulk: TaAg2Pb after structural relaxation (PBE-GGA).

```
data_TaAg2Pb
_chemical_formula_sum 'Ta1 Ag2 Pb1'
_cell_length_a 3.0480
_cell_length_b 3.0543
_cell_length_c 9.0556
_cell_angle_alpha 90.00
_cell_angle_beta 99.64
_cell_angle_gamma 90.00
_space_group_name_H-M_alt 'P 1'
_space_group_IT_number 1
_space_group_name_Hall 'P 1'
loop_
_atom_site_label
_atom_site_type_symbol
_atom_site_fract_x
_atom_site_fract_y
_atom_site_fract_z
Ta1 Ta 0.0000 0.0000 0.0000
Ag1 Ag 0.3913 0.5000 0.7818
Ag2 Ag 0.7821 0.0000 0.5625
Pb1 Pb 0.6287 0.5000 0.2591
```

Results
DFT formation energy = 0.33 eV/atom
total moment = 0.00 μB per cell

Entry 2:
Entry from Alexandria via LeMat-Bulk: TaAg2Pb after structural relaxation (PBE-GGA).

```
data_TaAg2Pb
_chemical_formula_sum 'Ta4 Ag8 Pb4'
_cell_length_a 7.7875
_cell_length_b 7.7875
_cell_length_c 5.7534
_cell_angle_alpha 90.00
_cell_angle_beta 90.00
_cell_angle_gamma 90.00
_space_group_name_H-M_alt 'P 1'
_space_group_IT_number 1
_space_group_name_Hall 'P 1'
loop_
_atom_site_label
_atom_site_type_symbol
_atom_site_fract_x
_atom_site_fract_y
_atom_site_fract_z
Ta1 Ta 0.0000 0.0000 0.0000
Ta2 Ta 0.0000 0.5000 0.2500
Ta3 Ta 0.5000 0.0000 0.7500
Ta4 Ta 0.5000 0.5000 0.5000
Ag1 Ag 0.2381 0.2500 0.1250
Ag2 Ag 0.2500 0.7381 0.3750
Ag3 Ag 0.2500 0.7619 0.8750
Ag4 Ag 0.2619 0.2500 0.6250
Ag5 Ag 0.7381 0.7500 0.6250
Ag6 Ag 0.7500 0.2381 0.8750
Ag7 Ag 0.7500 0.2619 0.3750
Ag8 Ag 0.7619 0.7500 0.1250
Pb1 Pb 0.0000 0.0000 0.5000
Pb2 Pb 0.0000 0.5000 0.7500
Pb3 Pb 0.5000 0.0000 0.2500
Pb4 Pb 0.5000 0.5000 0.0000
```

Results
DFT formation energy = 0.73 eV/atom
total moment = 0.00 μB per cell

Entry 3:
Entry from Alexandria via LeMat-Bulk: TaAg2Pb after structural relaxation (PBE-GGA).

```
data_TaAg2Pb
_chemical_formula_sum 'Ta1 Ag2 Pb1'
_cell_length_a 3.1196
_cell_length_b 4.9715
_cell_length_c 5.1762
_cell_angle_alpha 90.00
_cell_angle_beta 90.00
_cell_angle_gamma 90.00
_space_group_name_H-M_alt 'P 1'
_space_group_IT_number 1
_space_group_name_Hall 'P 1'
loop_
_atom_site_label
_atom_site_type_symbol
_atom_site_fract_x
_atom_site_fract_y
_atom_site_fract_z
Ta1 Ta 0.0000 0.0000 0.0000
Ag1 Ag 0.0000 0.5000 0.5000
Ag2 Ag 0.5000 0.0000 0.5000
Pb1 Pb 0.5000 0.5000 0.0000
```

Results
DFT formation energy = 0.45 eV/atom
total moment = 0.00 μB per cell